The following is a PBE calculation of BaSrOs3 after structural relaxation, from the Alexandria database.

The energy relative to the elements comes out at 2.85 eV/atom. As for the calculated volume: 27.81 Å³/atom.

The structure belongs to space group Pm-3m (No. 221); the cell edges are 5.181, 5.181 and 5.181 Å and the angles 90.00°, 90.00° and 90.00°. The asymmetric unit holds Ba at (0.000, 0.000, 0.000), Sr at (0.500, 0.500, 0.500) and Os at (0.000, 0.000, 0.500).